# SiHgSb (PBE, optimized geometry)
# Polymorph energy (0 for the lowest one) = 0.2415 eV per atom
# Crystal system = hexagonal
# M_tot = 0.00 μB/f.u.
# Volume = 23.17 Å³/atom
data_SiHgSb
_chemical_formula_sum 'Si1 Hg1 Sb1'
_cell_length_a 5.1558
_cell_length_b 5.1558
_cell_length_c 3.0199
_cell_angle_alpha 90.00
_cell_angle_beta 90.00
_cell_angle_gamma 120.00
_symmetry_space_group_name_H-M 'P -6 m 2'
_symmetry_Int_Tables_number 187
_symmetry_space_group_name_Hall 'P -6 2'
loop_
_atom_site_label
_atom_site_type_symbol
_atom_site_fract_x
_atom_site_fract_y
_atom_site_fract_z
Si1 Si 0.0000 0.0000 0.0000
Hg1 Hg 0.3333 0.6667 0.5000
Sb1 Sb 0.6667 0.3333 0.0000